Here is a relaxed NaHg3Pt crystal from the Alexandria database. Energies are from GGA-PBE.

Properties
offset from the most stable computed form: 446 kJ/mol of formula units

Cell lengths 5.341, 5.341, 5.341 Å; angles 90.00, 90.00, 90.00 degrees
Atoms (fractional coordinates):
1 Na 0.000 0.000 0.000
2 Hg 0.000 0.000 0.500
3 Hg 0.000 0.500 0.000
4 Hg 0.500 0.000 0.000
5 Pt 0.500 0.500 0.500

=====

Here is a relaxed CaTh5P6 crystal from the Alexandria database. Energies are from GGA-PBE.

Cell lengths 7.174, 7.174, 7.177 Å; angles 99.60, 99.60, 119.93 degrees
Atoms (fractional coordinates):
1 Ca 0.000 0.000 0.000
2 Th 0.165 0.835 0.500
3 Th 0.334 0.666 0.000
4 Th 0.500 0.500 0.500
5 Th 0.666 0.334 0.000
6 Th 0.835 0.165 0.500
7 P 0.084 0.419 0.252
8 P 0.251 0.251 0.751
9 P 0.419 0.084 0.252
10 P 0.581 0.916 0.748
11 P 0.749 0.749 0.249
12 P 0.916 0.581 0.748

=====

Here is a relaxed TaAgW2 crystal from the Alexandria database. Energies are from GGA-PBE.

Properties
offset from the most stable computed form: 54 kJ/mol of formula units

Cell lengths 2.732, 4.577, 5.530 Å; angles 90.00, 100.46, 90.00 degrees
Atoms (fractional coordinates):
1 Ta 0.000 0.000 0.000
2 Ag 0.285 0.500 0.747
3 W 0.522 0.000 0.474
4 W 0.756 0.500 0.253

=====

Number 1: DOS at the Fermi energy 1.336 states/eV per atom, M_tot 0.5 μB per formula unit, DFT formation energy 0.79 eV per atom. Number 2: DOS at the Fermi energy 0.537 states/eV per atom, M_tot 0.0 μB per formula unit, DFT formation energy -1.50 eV per atom. Number 3: DOS at the Fermi energy 0.867 states/eV per atom, M_tot 0.0 μB per formula unit, DFT formation energy 0.36 eV per atom.